# HfNi10B3 (GGA-PBE, relaxed)
# ρ (g cm⁻³): 9.016
# ΔE_f (eV per atom): -0.360
# Symmetry: No. 225
data_HfNi10B3
_space_group_name_H-M_alt 'P 1'
_space_group_IT_number 1
_cell_length_a 7.4629
_cell_length_b 7.4629
_cell_length_c 7.4629
_cell_angle_alpha 60.00
_cell_angle_beta 60.00
_cell_angle_gamma 60.00
loop_
_space_group_symop_operation_xyz
'x,y,z'
loop_
_atom_site_label
_atom_site_fract_x
_atom_site_fract_y
_atom_site_fract_z
Ni1 0.0000 0.3376 0.6624
Ni2 0.3858 0.3858 0.8427
Ni3 0.6624 0.0000 0.3376
Ni4 0.6624 0.0000 0.0000
Ni5 0.0000 0.0000 0.3376
Ni6 0.0000 0.0000 0.6624
Ni7 0.3858 0.3858 0.3858
Ni8 0.0000 0.6624 0.3376
Ni9 0.0000 0.3376 0.0000
Ni10 0.6142 0.6142 0.6142
Ni11 0.8427 0.3858 0.3858
Ni12 0.3858 0.8427 0.3858
Ni13 0.6142 0.6142 0.1573
Ni14 0.3376 0.0000 0.6624
Ni15 0.1573 0.6142 0.6142
Ni16 0.3376 0.6624 0.0000
Ni17 0.6624 0.3376 0.0000
Ni18 0.0000 0.6624 0.0000
Ni19 0.6142 0.1573 0.6142
Ni20 0.3376 0.0000 0.0000
Hf1 0.2500 0.2500 0.2500
Hf2 0.7500 0.7500 0.7500
B1 0.2683 0.2683 0.7317
B2 0.7317 0.7317 0.2683
B3 0.2683 0.7317 0.7317
B4 0.2683 0.7317 0.2683
B5 0.7317 0.2683 0.7317
B6 0.7317 0.2683 0.2683